First-principles (PBE-GGA) data for an optimized crystal structure of Y2CdCuSb, as listed in Alexandria.

Summary:
As for the density of states at the Fermi level: 3.47 states/eV/cell. The uncorrected formation energy comes out at -0.228 eV/atom. For the energy, the calculation gives -4.64 eV per atom.

Geometry as CIF:
```
data_Y2CdCuSb
_chemical_formula_sum 'Y2 Cd1 Cu1 Sb1'
_cell_length_a 5.299
_cell_length_b 5.299
_cell_length_c 4.828
_cell_angle_alpha 90.00
_cell_angle_beta 90.00
_cell_angle_gamma 90.00
_space_group_name_H-M_alt 'P 4/m m m'
_space_group_IT_number 123
_space_group_name_Hall '-P 4 2'
loop_
_atom_site_label
_atom_site_fract_x
_atom_site_fract_y
_atom_site_fract_z
Y1 0.000 0.500 0.000
Cd1 0.000 0.000 0.500
Cu1 0.000 0.000 0.000
Sb1 0.500 0.500 0.500
```